Below is a relaxed Li4MnO2F2 crystal, with properties calculated at the PBE+U level.

Computed properties:
The electronic total energy is -97.01 eV for the cell shown. Its space-group type is P2_1/c (14).

Cell lengths 5.0256, 6.0892, 6.1373 Å; angles 100.61, 90.00, 90.00 degrees
Site moments in Bohr magnetons follow the coordinates.
Element x y z (fractional)
Li 0.0238 0.8361 0.5767  0.00
Li 0.5238 0.1640 0.9232  0.00
Li 0.9902 0.6102 0.2024  0.00
Li 0.9761 0.1640 0.4231  0.00
Li 0.5099 0.6103 0.7023  0.00
Li 0.4901 0.3898 0.2977  0.00
Li 0.4761 0.8361 0.0768  0.00
Li 0.0099 0.3897 0.7977  0.00
O 0.1837 0.8824 0.2945  0.05
O 0.8163 0.1175 0.7054  0.05
O 0.3163 0.8825 0.7946  0.05
O 0.6837 0.1176 0.2054  0.05
Mn 0.5000 0.0001 0.5000  4.61
Mn 0.9999 0.9999 0.0000  4.61
F 0.2339 0.3788 0.0549  0.02
F 0.7662 0.6212 0.9452  0.02
F 0.7338 0.6212 0.4451  0.02
F 0.2661 0.3788 0.5549  0.02